Crystalline HfTlO2F at its relaxed geometry, computed with GGA-PBE.

* E_tot: -7.480 eV/atom
* ΔE_f (raw): -2.66 eV/atom

Cell lengths 4.1522, 4.1522, 4.3404 Å; angles 90.00, 90.00, 90.00 degrees
With the nearest neighbours (Å) after each atom.
Space group P4/mmm (No. 123)
One atom of each set of equivalent atoms:
Hf 0.0000 0.0000 0.0000 (multiplicity 1)  4 O 2.08, 2 F 2.17
Tl 0.5000 0.5000 0.5000 (multiplicity 1)  4 F 2.94, 8 O 3.00
O 0.0000 0.5000 0.0000 (multiplicity 2)  2 Hf 2.08
F 0.0000 0.0000 0.5000 (multiplicity 1)  2 Hf 2.17